No. 1
A crystal of LaYMo2 relaxed with PBEsol, computed with meta-GGA SCAN.

Lattice parameters (Å, degrees): 3.3943 5.0423 9.3804 90.00 90.00 90.00
Last column: nearest neighbours and their distance in Å.
Space group Immm (No. 71)
Inequivalent atoms, fractional coordinates:
La (0.0000, 0.0000, 0.0000)  4 Mo 2.80, 4 Y 3.04
Y (0.0000, 0.0000, 0.5000)  4 Mo 2.99, 4 La 3.04
Mo (0.0000, 0.5000, 0.2628)  2 La 2.80, 2 Y 2.99, 4 Mo 3.05

Results
ΔE to the lowest computed polymorph = 0 meV per atom
Volume = 160.5 Å³/cell

No. 2
A crystal of MnPb3O relaxed with PBEsol, computed with meta-GGA SCAN.

Lattice parameters (Å, degrees): 4.9401 4.9401 4.9401 90.00 90.00 90.00
Last column: nearest neighbours and their distance in Å.
Space group Pm-3m (No. 221)
Inequivalent atoms, fractional coordinates:
Mn (0.0000, 0.0000, 0.0000)  6 Pb 2.47
Pb (0.0000, 0.0000, 0.5000)  2 Mn 2.47
O (0.5000, 0.5000, 0.5000)  12 Pb 3.49

Results
Total energy = -49.9795 eV per atom
Volume = 120.6 Å³/cell

No. 3
A crystal of UBC relaxed with PBEsol, computed with meta-GGA SCAN.

Lattice parameters (Å, degrees): 3.5928 11.8392 3.2393 90.00 90.00 90.00
Last column: nearest neighbours and their distance in Å.
Space group Cmcm (No. 63)
Inequivalent atoms, fractional coordinates:
U (0.0000, 0.1374, 0.2500)  5 C 2.31-2.44
B (0.0000, 0.4659, 0.2500)  1 C 1.58
C (0.0000, 0.3326, 0.2500)  1 B 1.58

Results
Total energy = -40.7427 eV per atom
Volume = 137.8 Å³/cell

No. 4
A crystal of YTeRu2 relaxed with PBEsol, computed with meta-GGA SCAN.

Lattice parameters (Å, degrees): 4.2934 4.2934 15.4076 90.00 90.00 120.00
Last column: nearest neighbours and their distance in Å.
Space group R3m (No. 160, hexagonal axes)
Inequivalent atoms, fractional coordinates:
Y (0.0000, 0.0000, 0.0000)  7 Ru 3.08-3.31, 4 Te 3.13-3.19
Te (0.0000, 0.0000, 0.2029)  6 Ru 2.79-2.80
Ru (0.0000, 0.0000, 0.4536)  3 Ru 2.48
Ru (0.0000, 0.0000, 0.7850)  3 Ru 2.48

Results
Total energy = -34.0301 eV per atom
Volume = 246.0 Å³/cell

No. 5
A crystal of PbClF2 relaxed with PBEsol, computed with meta-GGA SCAN.

Lattice parameters (Å, degrees): 6.2842 6.2842 6.2842 90.00 90.00 90.00
Last column: nearest neighbours and their distance in Å.
Space group Fm-3m (No. 225)
Inequivalent atoms, fractional coordinates:
Pb (0.0000, 0.0000, 0.0000)  8 F 2.72
Cl (0.0000, 0.0000, 0.5000)  8 F 2.72
F (0.2500, 0.2500, 0.2500)  4 Pb 2.72, 4 Cl 2.72

Results
Total energy = -24.0194 eV per atom
Volume = 248.2 Å³/cell

No. 6
A crystal of SiAg2P relaxed with PBEsol, computed with meta-GGA SCAN.

Lattice parameters (Å, degrees): 8.3937 3.0354 5.1531 90.00 102.30 90.00
Last column: nearest neighbours and their distance in Å.
Space group C2/m (No. 12)
Inequivalent atoms, fractional coordinates:
Si (0.0000, 0.0000, 0.0000)  6 Ag 2.67
Ag (0.2502, 0.0000, 0.7565)  3 Si 2.67, 3 P 2.70-2.71, 2 Ag 2.93
P (0.0000, 0.5000, 0.5000)  6 Ag 2.70-2.71, 4 Si 2.99

Results
ΔE to the lowest computed polymorph = 0 meV per atom
Volume = 128.3 Å³/cell

No. 7
A crystal of MgZn2Hg relaxed with PBEsol, computed with meta-GGA SCAN.

Lattice parameters (Å, degrees): 9.2156 3.3058 4.7380 90.00 100.05 90.00
Last column: nearest neighbours and their distance in Å.
Space group C2/m (No. 12)
Inequivalent atoms, fractional coordinates:
Mg (0.0000, 0.0000, 0.0000)  6 Zn 2.76-2.88, 4 Hg 2.89
Zn (0.2475, 0.5000, 0.2398)  3 Mg 2.76-2.88, 3 Hg 2.78-2.94, 4 Zn 2.82-2.96
Hg (0.0000, 0.5000, 0.5000)  6 Zn 2.78-2.94, 4 Mg 2.89

Results
ΔE to the lowest computed polymorph = 51 meV per atom
Volume = 142.1 Å³/cell

No. 8
A crystal of La2Os relaxed with PBEsol, computed with meta-GGA SCAN.

Lattice parameters (Å, degrees): 7.5037 7.5037 4.7559 90.00 90.00 120.00
Last column: nearest neighbours and their distance in Å.
Space group P-62m (No. 189)
Inequivalent atoms, fractional coordinates:
La (0.0000, 0.2734, 0.0000)  2 Os 2.75
La (0.0000, 0.5998, 0.5000)  5 Os 3.00-3.30
Os (0.0000, 0.0000, 0.5000)  9 La 3.00-3.14
Os (0.3333, 0.6667, 0.0000)  3 La 2.75

Results
Total energy = -52.9053 eV per atom
Volume = 231.9 Å³/cell

No. 9
A crystal of LaAgAs2 relaxed with PBEsol, computed with meta-GGA SCAN.

Lattice parameters (Å, degrees): 3.9506 3.9506 5.9840 90.00 90.00 90.00
Last column: nearest neighbours and their distance in Å.
Space group P4mm (No. 99)
Inequivalent atoms, fractional coordinates:
La (0.0000, 0.0000, 0.0000)  6 As 2.93-3.05
Ag (0.5000, 0.5000, 0.3900)  5 As 2.72-2.86
As (0.0000, 0.0000, 0.4895)  4 Ag 2.86, 2 La 2.93-3.05
As (0.5000, 0.5000, 0.8441)  1 Ag 2.72, 4 La 2.95

Results
Total energy = -29.1983 eV per atom
Volume = 93.4 Å³/cell

No. 10
A crystal of NdTlP4O12 relaxed with PBEsol, computed with meta-GGA SCAN.

Lattice parameters (Å, degrees): 10.4706 9.0740 12.9258 90.00 125.32 90.00
Last column: nearest neighbours and their distance in Å.
Space group P2_1/c (No. 14)
Inequivalent atoms, fractional coordinates:
Nd (0.1854, 0.2272, 0.1851)  8 O 2.36-2.47
Tl (0.2435, 0.5651, 0.9586)  3 O 2.72-2.85
P (0.1142, 0.5975, 0.2604)  4 O 1.49-1.61
P (0.1816, 0.6723, 0.6411)  4 O 1.50-1.61
P (0.3018, 0.1035, 0.9783)  4 O 1.49-1.62
P (0.4778, 0.5224, 0.7268)  4 O 1.50-1.62
O (0.0171, 0.1842, 0.2548)  1 P 1.49
O (0.0724, 0.0332, 0.6749)  1 P 1.50
O (0.0791, 0.7434, 0.5130)  1 P 1.50
O (0.1328, 0.5334, 0.6716)  1 P 1.50
O (0.1995, 0.1587, 0.0157)  1 P 1.49
O (0.2268, 0.7076, 0.2494)  2 P 1.61
O (0.2347, 0.5524, 0.4055)  2 P 1.59-1.62
O (0.3389, 0.2025, 0.9066)  1 P 1.49
O (0.3515, 0.6549, 0.6678)  2 P 1.61-1.62
O (0.3617, 0.0880, 0.6900)  1 P 1.50
O (0.4328, 0.0903, 0.2853)  1 P 1.50
O (0.4622, 0.0429, 0.1038)  2 P 1.61

Results
Total energy = -15.5034 eV per atom
Volume = 1002.0 Å³/cell

No. 11
A crystal of Cu3Sn relaxed with PBEsol, computed with meta-GGA SCAN.

Lattice parameters (Å, degrees): 5.4473 5.4473 4.2862 90.00 90.00 120.00
Last column: nearest neighbours and their distance in Å.
Space group P6_3/mmc (No. 194)
Inequivalent atoms, fractional coordinates:
Cu (0.1564, 0.3128, 0.2500)  6 Cu 2.56-2.60, 4 Sn 2.72-2.73
Sn (0.3333, 0.6667, 0.7500)  12 Cu 2.72-2.73

Results
Total energy = -20.3494 eV per atom
Volume = 110.1 Å³/cell

What did the sixth record say?
A crystal of SiAg2P relaxed with PBEsol, computed with meta-GGA SCAN.

Lattice parameters (Å, degrees): 8.3937 3.0354 5.1531 90.00 102.30 90.00
Last column: nearest neighbours and their distance in Å.
Space group C2/m (No. 12)
Inequivalent atoms, fractional coordinates:
Si (0.0000, 0.0000, 0.0000)  6 Ag 2.67
Ag (0.2502, 0.0000, 0.7565)  3 Si 2.67, 3 P 2.70-2.71, 2 Ag 2.93
P (0.0000, 0.5000, 0.5000)  6 Ag 2.70-2.71, 4 Si 2.99

Results
ΔE to the lowest computed polymorph = 0 meV per atom
Volume = 128.3 Å³/cell

What is the volume in the ninth record?
93.4 Å³/cell

Among the records above, which one has the lowest volume?
LaAgAs2